Ce3Zn3Ir2, relaxed, DFT PBE; energy of formation = -452 meV per atom; space group = C2/m (12); E_tot = -5.37 eV/atom
1.0
-1.899 1.739 -3.712
-4.550 -0.336 2.170
4.828 6.366 3.262
Ce Zn Ir
3 3 2
direct
0.839 0.262 0.678
0.161 0.738 0.322
0.000 0.000 0.000
0.367 0.808 0.735
0.500 0.500 0.000
0.633 0.192 0.265
0.784 0.693 0.569
0.216 0.307 0.431